VASP calculation (PBE-GGA) on a relaxed structure of PmNd2Ge.

a = 9.694 Å, b = 9.694 Å, c = 9.694 Å
α = 24.18°, β = 24.18°, γ = 24.18°
Sites, in units of the cell vectors:
Pm: 0.000 0.000 0.000
Nd: 0.561 0.561 0.561
Nd: 0.770 0.770 0.770
Ge: 0.165 0.165 0.165

Properties
Formation enthalpy at 0 K, kJ per mole of atoms: -21.2
DOS at the Fermi energy, states/eV per atom: 1.7387
Offset from the most stable computed form, meV/atom: 209
Energy, eV per atom: -4.9460

VASP calculation (PBE-GGA) on a relaxed structure of Pm3Nd2Ge3.

a = 11.043 Å, b = 11.043 Å, c = 11.043 Å
α = 158.72°, β = 153.66°, γ = 34.11°
Sites, in units of the cell vectors:
Pm: 0.000 0.000 0.000
Pm: 0.390 0.890 0.500
Pm: 0.610 0.110 0.500
Nd: 0.228 0.228 0.000
Nd: 0.772 0.772 0.000
Ge: 0.123 0.623 0.500
Ge: 0.500 0.500 0.000
Ge: 0.877 0.377 0.500

Properties
Formation enthalpy at 0 K, kJ per mole of atoms: -48.3
DOS at the Fermi energy, states/eV per atom: 0.7303
Energy, eV per atom: -5.2055

VASP calculation (PBE-GGA) on a relaxed structure of Pm3Nd2Ge4.

a = 8.225 Å, b = 8.030 Å, c = 7.868 Å
α = 90.00°, β = 112.62°, γ = 90.00°
Sites, in units of the cell vectors:
Pm: 0.000 0.000 0.000
Pm: 0.000 0.500 0.500
Pm: 0.268 0.163 0.779
Pm: 0.268 0.337 0.279
Pm: 0.732 0.663 0.721
Pm: 0.732 0.837 0.221
Nd: 0.297 0.680 0.937
Nd: 0.297 0.820 0.437
Nd: 0.703 0.180 0.563
Nd: 0.703 0.320 0.063
Ge: 0.006 0.626 0.123
Ge: 0.006 0.874 0.623
Ge: 0.410 0.032 0.179
Ge: 0.410 0.468 0.679
Ge: 0.590 0.532 0.321
Ge: 0.590 0.968 0.821
Ge: 0.994 0.126 0.377
Ge: 0.994 0.374 0.877

Properties
Formation enthalpy at 0 K, kJ per mole of atoms: -79.4
DOS at the Fermi energy, states/eV per atom: 0.6970
Offset from the most stable computed form, meV/atom: 0
Energy, eV per atom: -5.5186

VASP calculation (PBE-GGA) on a relaxed structure of Pm7NdGe4.

a = 7.429 Å, b = 7.429 Å, c = 10.590 Å
α = 122.24°, β = 122.24°, γ = 45.11°
Sites, in units of the cell vectors:
Pm: 0.000 0.000 0.000
Pm: 0.185 0.185 0.614
Pm: 0.289 0.289 0.114
Pm: 0.439 0.439 0.625
Pm: 0.561 0.561 0.375
Pm: 0.711 0.711 0.886
Pm: 0.815 0.815 0.386
Nd: 0.500 0.500 0.000
Ge: 0.063 0.063 0.762
Ge: 0.199 0.199 0.330
Ge: 0.801 0.801 0.670
Ge: 0.937 0.937 0.238

Properties
Formation enthalpy at 0 K, kJ per mole of atoms: -29.3
DOS at the Fermi energy, states/eV per atom: 0.8770
Energy, eV per atom: -5.0117

VASP calculation (PBE-GGA) on a relaxed structure of Pm2NdGe.

a = 9.712 Å, b = 9.712 Å, c = 9.712 Å
α = 23.97°, β = 23.97°, γ = 23.97°
Sites, in units of the cell vectors:
Pm: 0.000 0.000 0.000
Pm: 0.209 0.209 0.209
Nd: 0.439 0.439 0.439
Ge: 0.604 0.604 0.604

Properties
Formation enthalpy at 0 K, kJ per mole of atoms: -23.0
DOS at the Fermi energy, states/eV per atom: 1.6595
Offset from the most stable computed form, meV/atom: 123
Energy, eV per atom: -4.9597

VASP calculation (PBE-GGA) on a relaxed structure of PmNd4Ge4.

a = 9.235 Å, b = 9.235 Å, c = 6.079 Å
α = 90.00°, β = 90.00°, γ = 90.00°
Sites, in units of the cell vectors:
Pm: 0.250 0.250 0.250
Pm: 0.750 0.750 0.750
Nd: 0.053 0.668 0.126
Nd: 0.168 0.947 0.626
Nd: 0.332 0.553 0.626
Nd: 0.447 0.832 0.126
Nd: 0.553 0.168 0.874
Nd: 0.668 0.447 0.374
Nd: 0.832 0.053 0.374
Nd: 0.947 0.332 0.874
Ge: 0.021 0.626 0.617
Ge: 0.126 0.979 0.117
Ge: 0.374 0.521 0.117
Ge: 0.479 0.874 0.617
Ge: 0.521 0.126 0.383
Ge: 0.626 0.479 0.883
Ge: 0.874 0.021 0.883
Ge: 0.979 0.374 0.383

Properties
Formation enthalpy at 0 K, kJ per mole of atoms: -55.4
DOS at the Fermi energy, states/eV per atom: 1.0218
Energy, eV per atom: -5.2731

VASP calculation (PBE-GGA) on a relaxed structure of PmNd5Ge4.

a = 8.308 Å, b = 8.308 Å, c = 7.053 Å
α = 90.26°, β = 90.26°, γ = 36.21°
Sites, in units of the cell vectors:
Pm: 0.000 0.000 0.000
Nd: 0.000 0.000 0.500
Nd: 0.335 0.335 0.508
Nd: 0.335 0.335 0.993
Nd: 0.665 0.665 0.007
Nd: 0.665 0.665 0.492
Ge: 0.178 0.178 0.250
Ge: 0.490 0.490 0.248
Ge: 0.510 0.510 0.752
Ge: 0.822 0.822 0.750

Properties
Formation enthalpy at 0 K, kJ per mole of atoms: -59.9
DOS at the Fermi energy, states/eV per atom: 0.6059
Energy, eV per atom: -5.3269

VASP calculation (PBE-GGA) on a relaxed structure of Pm7NdGe2.

a = 8.529 Å, b = 8.529 Å, c = 5.702 Å
α = 90.00°, β = 90.00°, γ = 117.00°
Sites, in units of the cell vectors:
Pm: 0.000 0.000 0.000
Pm: 0.186 0.449 0.000
Pm: 0.204 0.796 0.500
Pm: 0.449 0.186 0.000
Pm: 0.551 0.814 0.000
Pm: 0.796 0.204 0.500
Pm: 0.814 0.551 0.000
Nd: 0.500 0.500 0.500
Ge: 0.200 0.800 0.000
Ge: 0.800 0.200 0.000

Properties
Formation enthalpy at 0 K, kJ per mole of atoms: -0.8
DOS at the Fermi energy, states/eV per atom: 1.7034
Energy, eV per atom: -4.7335

VASP calculation (PBE-GGA) on a relaxed structure of PmNdGePt.

a = 4.318 Å, b = 5.962 Å, c = 5.962 Å
α = 40.37°, β = 90.00°, γ = 90.00°
Sites, in units of the cell vectors:
Pm: 0.000 0.000 0.000
Nd: 0.500 0.277 0.277
Ge: 0.000 0.715 0.715
Pt: 0.500 0.553 0.553

Properties
Formation enthalpy at 0 K, kJ per mole of atoms: -96.1
DOS at the Fermi energy, states/eV per atom: 0.5289
Offset from the most stable computed form, meV/atom: 0
Energy, eV per atom: -6.0404

VASP calculation (PBE-GGA) on a relaxed structure of Pm2NdGe4Pt3.

a = 4.333 Å, b = 4.333 Å, c = 11.460 Å
α = 90.00°, β = 90.00°, γ = 90.00°
Sites, in units of the cell vectors:
Pm: 0.000 0.500 0.225
Pm: 0.500 0.000 0.775
Nd: 0.000 0.000 0.500
Ge: 0.000 0.000 0.000
Ge: 0.000 0.500 0.670
Ge: 0.500 0.000 0.330
Ge: 0.500 0.500 0.000
Pt: 0.000 0.500 0.886
Pt: 0.500 0.000 0.114
Pt: 0.500 0.500 0.500

Properties
Formation enthalpy at 0 K, kJ per mole of atoms: -81.7
DOS at the Fermi energy, states/eV per atom: 0.4071
Energy, eV per atom: -5.9329

VASP calculation (PBE-GGA) on a relaxed structure of Pm2NdGe2Pt7.

a = 4.137 Å, b = 4.137 Å, c = 14.171 Å
α = 96.13°, β = 96.13°, γ = 89.22°
Sites, in units of the cell vectors:
Pm: 0.115 0.115 0.358
Pm: 0.885 0.885 0.642
Nd: 0.000 0.000 0.000
Ge: 0.405 0.405 0.743
Ge: 0.595 0.595 0.257
Pt: 0.059 0.558 0.158
Pt: 0.374 0.374 0.570
Pt: 0.442 0.941 0.842
Pt: 0.500 0.500 0.000
Pt: 0.558 0.059 0.158
Pt: 0.626 0.626 0.430
Pt: 0.941 0.442 0.842

Properties
Formation enthalpy at 0 K, kJ per mole of atoms: -89.6
DOS at the Fermi energy, states/eV per atom: 0.5108
Energy, eV per atom: -6.4112

VASP calculation (PBE-GGA) on a relaxed structure of PmNdGePt.

a = 5.157 Å, b = 5.157 Å, c = 5.157 Å
α = 60.00°, β = 60.00°, γ = 60.00°
Sites, in units of the cell vectors:
Pm: 0.000 0.000 0.000
Nd: 0.500 0.500 0.500
Ge: 0.750 0.750 0.750
Pt: 0.250 0.250 0.250

Properties
Formation enthalpy at 0 K, kJ per mole of atoms: -81.1
DOS at the Fermi energy, states/eV per atom: 0.3253
Offset from the most stable computed form, meV/atom: 155
Energy, eV per atom: -5.8851

VASP calculation (PBE-GGA) on a relaxed structure of PmNd2Ge2Pt7.

a = 4.140 Å, b = 4.140 Å, c = 14.176 Å
α = 95.95°, β = 95.95°, γ = 89.26°
Sites, in units of the cell vectors:
Pm: 0.000 0.000 0.000
Nd: 0.112 0.112 0.357
Nd: 0.888 0.888 0.643
Ge: 0.408 0.408 0.745
Ge: 0.592 0.592 0.255
Pt: 0.057 0.556 0.156
Pt: 0.378 0.378 0.571
Pt: 0.444 0.943 0.844
Pt: 0.500 0.500 0.000
Pt: 0.556 0.057 0.156
Pt: 0.622 0.622 0.429
Pt: 0.943 0.444 0.844

Properties
Formation enthalpy at 0 K, kJ per mole of atoms: -90.8
DOS at the Fermi energy, states/eV per atom: 0.5001
Energy, eV per atom: -6.4252

VASP calculation (PBE-GGA) on a relaxed structure of Pm2NdGe3Pt4.

a = 4.344 Å, b = 4.344 Å, c = 11.277 Å
α = 90.00°, β = 90.00°, γ = 90.00°
Sites, in units of the cell vectors:
Pm: 0.000 0.500 0.217
Pm: 0.500 0.000 0.783
Nd: 0.000 0.000 0.500
Ge: 0.000 0.500 0.881
Ge: 0.500 0.000 0.119
Ge: 0.500 0.500 0.500
Pt: 0.000 0.000 0.000
Pt: 0.000 0.500 0.664
Pt: 0.500 0.000 0.336
Pt: 0.500 0.500 0.000

Properties
Formation enthalpy at 0 K, kJ per mole of atoms: -87.9
DOS at the Fermi energy, states/eV per atom: 0.7632
Energy, eV per atom: -6.1395

VASP calculation (PBE-GGA) on a relaxed structure of Pm2Nd2GeRh4.

a = 6.539 Å, b = 6.539 Å, c = 6.539 Å
α = 118.24°, β = 118.24°, γ = 93.08°
Sites, in units of the cell vectors:
Pm: 0.183 0.183 0.000
Pm: 0.817 0.817 0.000
Nd: 0.250 0.750 0.500
Nd: 0.750 0.250 0.500
Ge: 0.500 0.500 0.000
Rh: 0.245 0.245 0.490
Rh: 0.245 0.755 0.000
Rh: 0.755 0.245 0.000
Rh: 0.755 0.755 0.510

Properties
Formation enthalpy at 0 K, kJ per mole of atoms: -40.9
DOS at the Fermi energy, states/eV per atom: 0.8251
Energy, eV per atom: -6.3190

VASP calculation (PBE-GGA) on a relaxed structure of PmNdGe2Rh2.

a = 4.384 Å, b = 4.384 Å, c = 7.546 Å
α = 90.00°, β = 90.00°, γ = 120.00°
Sites, in units of the cell vectors:
Pm: 0.000 0.000 0.000
Nd: 0.000 0.000 0.500
Ge: 0.333 0.667 0.753
Ge: 0.667 0.333 0.247
Rh: 0.333 0.667 0.245
Rh: 0.667 0.333 0.755

Properties
Formation enthalpy at 0 K, kJ per mole of atoms: -82.3
DOS at the Fermi energy, states/eV per atom: 0.6330
Energy, eV per atom: -6.4288

VASP calculation (PBE-GGA) on a relaxed structure of PmNdGeRh.

a = 4.224 Å, b = 5.800 Å, c = 5.800 Å
α = 42.87°, β = 90.00°, γ = 90.00°
Sites, in units of the cell vectors:
Pm: 0.000 0.000 0.000
Nd: 0.500 0.720 0.720
Ge: 0.000 0.291 0.291
Rh: 0.500 0.441 0.441

Properties
Formation enthalpy at 0 K, kJ per mole of atoms: -76.1
DOS at the Fermi energy, states/eV per atom: 0.8038
Offset from the most stable computed form, meV/atom: 0
Energy, eV per atom: -6.1609

VASP calculation (PBE-GGA) on a relaxed structure of PmNdGeRh.

a = 5.108 Å, b = 5.108 Å, c = 5.108 Å
α = 60.00°, β = 60.00°, γ = 60.00°
Sites, in units of the cell vectors:
Pm: 0.000 0.000 0.000
Nd: 0.500 0.500 0.500
Ge: 0.750 0.750 0.750
Rh: 0.250 0.250 0.250

Properties
Formation enthalpy at 0 K, kJ per mole of atoms: -59.1
DOS at the Fermi energy, states/eV per atom: 0.6963
Offset from the most stable computed form, meV/atom: 176
Energy, eV per atom: -5.9847

VASP calculation (PBE-GGA) on a relaxed structure of Pm2NdGe3Rh4.

a = 4.218 Å, b = 4.218 Å, c = 11.276 Å
α = 90.00°, β = 90.00°, γ = 90.00°
Sites, in units of the cell vectors:
Pm: 0.000 0.500 0.225
Pm: 0.500 0.000 0.775
Nd: 0.000 0.000 0.500
Ge: 0.000 0.500 0.881
Ge: 0.500 0.000 0.119
Ge: 0.500 0.500 0.500
Rh: 0.000 0.000 0.000
Rh: 0.000 0.500 0.664
Rh: 0.500 0.000 0.336
Rh: 0.500 0.500 0.000

Properties
Formation enthalpy at 0 K, kJ per mole of atoms: -79.6
DOS at the Fermi energy, states/eV per atom: 0.5069
Energy, eV per atom: -6.5778

VASP calculation (PBE-GGA) on a relaxed structure of PmNdGeRu.

a = 5.083 Å, b = 5.083 Å, c = 5.083 Å
α = 60.00°, β = 60.00°, γ = 60.00°
Sites, in units of the cell vectors:
Pm: 0.000 0.000 0.000
Nd: 0.500 0.500 0.500
Ge: 0.250 0.250 0.250
Ru: 0.750 0.750 0.750

Properties
Formation enthalpy at 0 K, kJ per mole of atoms: -32.5
DOS at the Fermi energy, states/eV per atom: 0.5672
Offset from the most stable computed form, meV/atom: 207
Energy, eV per atom: -6.1902